! PmHg2MoO6 | Alexandria via LeMat-Bulk | PBE with a Hubbard U | optimized geometry; values from VASP
! - Total magnetic moment: 0.100 μB per atom
! - E: -5.72 eV/atom
&SYSTEM
  ibrav = 0, nat = 10, ntyp = 4
/
ATOMIC_SPECIES
Pm 145.00 Pm.upf
Hg 200.59 Hg.upf
Mo 95.94 Mo.upf
O 16.00 O.upf
ATOMIC_POSITIONS crystal
Pm 0.816 0.816 0.552
Hg 0.569 0.580 0.295
Hg 0.063 0.053 0.808
Mo 0.316 0.316 0.052
O 0.530 0.207 0.284
O 0.199 0.972 0.286
O 0.976 0.546 0.281
O 0.433 0.660 0.817
O 0.656 0.086 0.822
O 0.103 0.426 0.819
CELL_PARAMETERS angstrom
-2.730 -2.308 -4.511
2.830 -0.704 -4.972
1.584 -5.546 -1.650